P | # VGa2Ni2

A relaxed structure of VGa2Ni2 (PBE, the Alexandria database).

POSCAR file:
```
VGa2Ni2
1.0
-2.865 -6.386 -0.397
6.338 -2.772 -1.140
0.330 -0.309 2.589
Ni Ga V
4 4 2
direct
0.371 0.871 0.000
0.871 0.629 0.000
0.629 0.129 0.000
0.129 0.371 0.000
0.169 0.669 0.500
0.669 0.831 0.500
0.831 0.331 0.500
0.331 0.169 0.500
0.000 0.000 0.000
0.500 0.500 0.000
```

Output
Its total magnetization is 0.257 Bohr magnetons per cell. The volume is 129.2 Å³ per cell.

Q | # VGa2Ni2

A relaxed structure of VGa2Ni2 (PBE, the Alexandria database).

POSCAR file:
```
VGa2Ni2
1.0
7.032 0.000 0.000
0.000 7.032 0.000
0.000 0.000 2.632
Ni Ga V
4 4 2
direct
0.159 0.659 0.500
0.659 0.841 0.500
0.841 0.341 0.500
0.341 0.159 0.500
0.360 0.860 0.000
0.860 0.640 0.000
0.640 0.140 0.000
0.140 0.360 0.000
0.000 0.000 0.000
0.500 0.500 0.000
```

Output
Its total magnetization is 2.448 Bohr magnetons per cell. The volume is 130.2 Å³ per cell.

Of them, Q has the lowest stability.

P | # V2GaNi3

A relaxed structure of V2GaNi3 (PBE, the Alexandria database).

POSCAR file:
```
V2GaNi3
1.0
-0.692 1.747 3.154
1.915 -2.446 1.775
9.178 6.168 -1.402
V Ga Ni
4 2 6
direct
0.000 0.000 0.672
0.000 0.000 0.328
0.000 0.500 0.172
0.000 0.500 0.828
0.000 0.500 0.500
0.000 0.000 0.000
0.500 0.500 0.669
0.500 0.000 0.500
0.500 0.500 0.331
0.500 0.000 0.169
0.500 0.500 0.000
0.500 0.000 0.831
```

Output
Its total magnetization is 0.730 Bohr magnetons per cell. The volume is 146.4 Å³ per cell.

Q | # V2GaNi3

A relaxed structure of V2GaNi3 (PBE, the Alexandria database).

POSCAR file:
```
V2GaNi3
1.0
-2.045 3.798 2.431
-4.085 -3.300 1.720
2.764 -1.434 4.565
V Ga Ni
4 2 6
direct
0.720 0.111 0.433
0.220 0.567 0.889
0.220 0.889 0.567
0.720 0.433 0.111
0.720 0.774 0.774
0.220 0.226 0.226
0.470 0.173 0.827
0.970 0.173 0.827
0.469 0.500 0.500
0.969 0.500 0.500
0.970 0.827 0.173
0.470 0.827 0.173
```

Output
Its total magnetization is 0.174 Bohr magnetons per cell. The volume is 151.1 Å³ per cell.

Of them, Q has the lowest stability.

P | # V3GaNi

A relaxed structure of V3GaNi (PBE, the Alexandria database).

POSCAR file:
```
V3GaNi
1.0
-3.201 -2.752 -0.983
2.735 -3.335 0.429
-1.029 -0.304 4.199
Ni Ga V
1 1 3
direct
0.000 0.000 0.000
0.500 0.500 0.500
0.000 0.500 0.000
0.000 0.000 0.500
0.500 0.000 0.000
```

Output
Its total magnetization is 0.001 Bohr magnetons per cell. The volume is 81.4 Å³ per cell.

Q | # V3GaNi

A relaxed structure of V3GaNi (PBE, the Alexandria database).

POSCAR file:
```
V3GaNi
1.0
5.937 -0.645 0.482
-3.476 4.856 -0.482
-2.302 -1.479 5.330
V Ga Ni
6 2 2
direct
0.054 0.326 0.721
0.054 0.833 0.228
0.605 0.826 0.772
0.223 0.322 0.401
0.605 0.333 0.279
0.922 0.822 0.599
0.574 0.822 0.252
0.570 0.322 0.748
0.277 0.855 0.922
0.933 0.355 0.078
```

Output
Its total magnetization is 0.000 Bohr magnetons per cell. The volume is 144.6 Å³ per cell.

Of them, P has the lowest stability.

P | # VGa3Ni

A relaxed structure of VGa3Ni (PBE, the Alexandria database).

POSCAR file:
```
VGa3Ni
1.0
4.713 0.000 0.000
0.000 4.713 0.000
0.000 0.000 4.713
Ni Ga V
1 3 1
direct
0.500 0.500 0.500
0.000 0.500 0.000
0.000 0.000 0.500
0.500 0.000 0.000
0.000 0.000 0.000
```

Output
Its total magnetization is 0.895 Bohr magnetons per cell. The volume is 104.7 Å³ per cell.

Q | # VGa3Ni

A relaxed structure of VGa3Ni (PBE, the Alexandria database).

POSCAR file:
```
VGa3Ni
1.0
-0.426 4.244 -1.372
-3.275 -1.233 -2.799
-3.028 0.737 3.219
Ni Ga V
1 3 1
direct
0.000 0.000 0.000
0.000 0.500 0.000
0.000 0.000 0.500
0.500 0.000 0.000
0.500 0.500 0.500
```

Output
Its total magnetization is 3.196 Bohr magnetons per cell. The volume is 90.0 Å³ per cell.

Of them, P has the lowest stability.

P | # VGaNi3

A relaxed structure of VGaNi3 (PBE, the Alexandria database).

POSCAR file:
```
VGaNi3
1.0
-4.022 -1.281 0.875
1.404 -4.040 0.537
0.661 0.786 4.187
Ni Ga V
3 1 1
direct
0.000 0.500 0.000
0.000 0.000 0.500
0.500 0.000 0.000
0.500 0.500 0.500
0.000 0.000 0.000
```

Output
Its total magnetization is 0.724 Bohr magnetons per cell. The volume is 80.1 Å³ per cell.

Q | # VGaNi3

A relaxed structure of VGaNi3 (PBE, the Alexandria database).

POSCAR file:
```
VGaNi3
1.0
2.623 0.000 0.000
-1.311 6.110 0.000
0.000 0.000 8.248
V Ga Ni
2 2 6
direct
0.205 0.410 0.250
0.795 0.590 0.750
0.000 0.000 0.500
0.000 0.000 0.000
0.124 0.248 0.750
0.876 0.752 0.250
0.335 0.670 0.500
0.665 0.330 0.500
0.665 0.330 0.000
0.335 0.670 0.000
```

Output
Its total magnetization is 0.000 Bohr magnetons per cell. The volume is 132.2 Å³ per cell.

R | # VGaNi3

A relaxed structure of VGaNi3 (PBE, the Alexandria database).

POSCAR file:
```
VGaNi3
1.0
-0.683 4.112 -0.975
-3.688 -1.063 -1.896
-2.064 0.538 3.712
Ni Ga V
3 1 1
direct
0.000 0.500 0.000
0.000 0.000 0.500
0.500 0.000 0.000
0.000 0.000 0.000
0.500 0.500 0.500
```

Output
Its total magnetization is 3.504 Bohr magnetons per cell. The volume is 78.4 Å³ per cell.

Of them, P has the lowest stability.

P | # V3GaNi6

A relaxed structure of V3GaNi6 (PBE, the Alexandria database).

POSCAR file:
```
V3GaNi6
1.0
3.592 0.000 0.000
0.000 8.089 -0.108
0.000 0.090 8.106
V Ga Ni
6 2 12
direct
0.250 0.551 0.400
0.750 0.449 0.600
0.250 0.350 0.789
0.750 0.650 0.211
0.250 0.752 0.001
0.750 0.248 0.999
0.250 0.942 0.618
0.750 0.058 0.382
0.250 0.452 0.097
0.750 0.548 0.903
0.250 0.157 0.186
0.750 0.843 0.814
0.250 0.646 0.706
0.750 0.354 0.294
0.250 0.245 0.492
0.750 0.755 0.508
0.250 0.856 0.303
0.750 0.144 0.697
0.250 0.052 0.902
0.750 0.948 0.098
```

Output
Its total magnetization is 0.000 Bohr magnetons per cell. The volume is 235.6 Å³ per cell.

Q | # V3GaNi6

A relaxed structure of V3GaNi6 (PBE, the Alexandria database).

POSCAR file:
```
V3GaNi6
1.0
4.262 0.000 0.000
0.000 7.795 -0.294
0.000 -2.026 7.533
V Ga Ni
6 2 12
direct
0.502 0.869 0.663
0.002 0.663 0.869
0.064 0.364 0.636
0.564 0.636 0.364
0.002 0.131 0.337
0.502 0.337 0.131
0.135 0.145 0.855
0.635 0.855 0.145
0.039 0.680 0.573
0.539 0.573 0.680
0.473 0.566 0.982
0.973 0.982 0.566
0.155 0.952 0.048
0.603 0.259 0.741
0.103 0.741 0.259
0.655 0.048 0.952
0.473 0.018 0.434
0.973 0.434 0.018
0.039 0.427 0.320
0.539 0.320 0.427
```

Output
Its total magnetization is 0.000 Bohr magnetons per cell. The volume is 247.7 Å³ per cell.

Of them, Q has the lowest stability.

P | # Y3GaNi3

A relaxed structure of Y3GaNi3 (PBE, the Alexandria database).

POSCAR file:
```
Y3GaNi3
1.0
-1.094 -1.239 -3.759
3.435 -3.386 2.359
-10.169 -6.711 5.174
Y Ga Ni
6 2 6
direct
0.213 0.426 0.896
0.787 0.574 0.104
0.213 0.426 0.604
0.787 0.574 0.396
0.496 0.993 0.750
0.504 0.007 0.250
0.500 0.000 0.000
0.500 0.000 0.500
0.923 0.846 0.910
0.077 0.154 0.090
0.923 0.846 0.590
0.077 0.154 0.410
0.793 0.587 0.750
0.207 0.413 0.250
```

Output
Its total magnetization is 0.000 Bohr magnetons per cell. The volume is 269.7 Å³ per cell.

Q | # Y3GaNi3

A relaxed structure of Y3GaNi3 (PBE, the Alexandria database).

POSCAR file:
```
Y3GaNi3
1.0
5.423 0.000 0.000
0.000 8.245 0.000
0.000 -4.122 7.140
Y Ga Ni
6 2 6
direct
0.750 0.710 0.664
0.750 0.336 0.046
0.750 0.954 0.290
0.250 0.290 0.336
0.250 0.664 0.954
0.250 0.046 0.710
0.250 0.667 0.333
0.750 0.333 0.667
0.250 0.668 0.619
0.250 0.381 0.049
0.250 0.951 0.332
0.750 0.332 0.381
0.750 0.619 0.951
0.750 0.049 0.668
```

Output
Its total magnetization is 0.000 Bohr magnetons per cell. The volume is 319.2 Å³ per cell.

Of them, Q has the lowest stability.

P | # YGaNi3

A relaxed structure of YGaNi3 (PBE, the Alexandria database).

POSCAR file:
```
YGaNi3
1.0
-1.721 -1.554 -3.750
0.738 -4.125 1.371
-3.992 -0.093 1.870
Y Ni Ga
1 3 1
direct
0.500 0.500 0.500
0.000 0.500 0.000
0.000 0.000 0.500
0.500 0.000 0.000
0.000 0.000 0.000
```

Output
Its total magnetization is 0.000 Bohr magnetons per cell. The volume is 85.7 Å³ per cell.

Q | # YGaNi3

A relaxed structure of YGaNi3 (PBE, the Alexandria database).

POSCAR file:
```
YGaNi3
1.0
4.429 0.000 0.000
0.000 5.448 0.000
0.000 0.000 7.110
Y Ga Ni
2 2 6
direct
0.500 0.000 0.000
0.500 0.500 0.500
0.000 0.500 0.000
0.000 0.000 0.500
0.500 0.500 0.000
0.500 0.000 0.500
0.000 0.750 0.250
0.000 0.250 0.250
0.000 0.250 0.750
0.000 0.750 0.750
```

Output
Its total magnetization is 0.000 Bohr magnetons per cell. The volume is 171.5 Å³ per cell.

R | # YGaNi3

A relaxed structure of YGaNi3 (PBE, the Alexandria database).

POSCAR file:
```
YGaNi3
1.0
4.613 0.000 1.843
1.579 5.333 2.742
0.202 -0.337 6.189
Y Ga Ni
2 2 6
direct
0.500 0.500 0.500
0.500 0.000 0.000
0.970 0.780 0.280
0.030 0.220 0.720
0.191 0.745 0.873
0.191 0.373 0.245
0.809 0.627 0.755
0.809 0.255 0.127
0.500 0.000 0.500
0.000 0.000 0.500
```

Output
Its total magnetization is 0.000 Bohr magnetons per cell. The volume is 153.5 Å³ per cell.

Of them, P has the lowest stability.

P | # YZnGa2Ni

A relaxed structure of YZnGa2Ni (PBE, the Alexandria database).

POSCAR file:
```
YZnGa2Ni
1.0
4.533 0.000 0.000
0.000 4.533 0.000
0.000 0.000 4.575
Y Ni Zn Ga
1 1 1 2
direct
0.500 0.500 0.500
0.000 0.000 0.000
0.000 0.000 0.500
0.000 0.500 0.000
0.500 0.000 0.000
```

Output
Its total magnetization is 0.000 Bohr magnetons per cell. The volume is 94.0 Å³ per cell.

Q | # YZnGa2Ni

A relaxed structure of YZnGa2Ni (PBE, the Alexandria database).

POSCAR file:
```
YZnGa2Ni
1.0
4.106 0.000 0.000
0.000 4.106 0.000
-2.053 -2.053 5.176
Y Zn Ga Ni
1 1 2 1
direct
0.000 0.000 0.000
0.250 0.750 0.500
0.620 0.620 0.240
0.380 0.380 0.760
0.750 0.250 0.500
```

Output
Its total magnetization is 0.000 Bohr magnetons per cell. The volume is 87.3 Å³ per cell.

Of them, P has the lowest stability.

P | # ZnGa2Ni2

A relaxed structure of ZnGa2Ni2 (PBE, the Alexandria database).

POSCAR file:
```
ZnGa2Ni2
1.0
-2.686 -0.128 -3.068
-1.661 -3.557 -1.110
-3.651 0.716 3.166
Zn Ga Ni
1 2 2
direct
0.500 0.000 0.000
0.833 0.333 0.647
0.167 0.667 0.353
0.833 0.333 0.147
0.167 0.667 0.853
```

Output
Its total magnetization is 0.000 Bohr magnetons per cell. The volume is 70.4 Å³ per cell.

Q | # ZnGa2Ni2

A relaxed structure of ZnGa2Ni2 (PBE, the Alexandria database).

POSCAR file:
```
ZnGa2Ni2
1.0
3.581 0.000 0.000
0.000 3.581 0.000
1.790 1.790 5.704
Ni Zn Ga
2 1 2
direct
0.397 0.397 0.205
0.603 0.603 0.795
0.000 0.000 0.000
0.750 0.250 0.500
0.250 0.750 0.500
```

Output
Its total magnetization is 0.000 Bohr magnetons per cell. The volume is 73.1 Å³ per cell.

Of them, Q has the lowest stability.